DFT (PBE) results for an optimized crystal structure of K12Rb5Pb2.

The space group is C2/m (No. 12) and the conventional cell measures 26.1200, 9.0387 and 11.4953 Å, with angles of 90.00, 103.70 and 90.00 degrees. The inequivalent atoms are K at (0.0247, 0.0000, 0.3190), K at (0.0601, 0.5000, 0.1637), K at (0.1036, 0.2606, 0.8412), K at (0.1698, 0.2605, 0.5245), Rb at (0.0000, 0.5000, 0.5000), Rb at (0.1560, 0.0000, 0.1654), Rb at (0.2349, 0.5000, 0.1394) and Pb at (0.0000, 0.1673, 0.0000).

Its density is 1.651 g cm⁻³. The value obtained for the total magnetization is 0.0 μB/f.u. The value obtained for the total energy is -1.3465 eV/atom. For the formation energy, the calculation gives -8 meV per atom.